This record from Alexandria via LeMat-Bulk describes a geometry-optimized Ho2Zn2CuPd5 structure. The functional is PBE.

```
Ho2Zn2CuPd5
1.0
9.566 0.000 0.000
0.000 9.566 0.000
0.000 0.000 3.759
Ho Zn Cu Pd
4 4 2 10
Cartesian
1.690 3.093 0.000
3.093 7.876 0.000
6.473 1.690 0.000
7.876 6.473 0.000
1.169 5.952 0.000
3.613 1.169 0.000
5.952 8.396 0.000
8.396 3.613 0.000
0.000 0.000 0.000
4.783 4.783 0.000
0.000 4.783 1.880
0.640 7.656 1.880
1.910 0.640 1.880
2.873 5.422 1.880
4.143 2.873 1.880
4.783 0.000 1.880
5.422 6.693 1.880
6.693 4.143 1.880
7.656 8.926 1.880
8.926 1.910 1.880
```

## Properties
- space-group type = No. 127
- M_tot (μB per formula unit) = 0.00
- formation enthalpy at 0 K (eV/f.u.) = -6.17

***

This record from Alexandria via LeMat-Bulk describes a geometry-optimized ScPa2Rh9 structure. The functional is PBE.

```
ScPa2Rh9
1.0
4.033 0.000 0.000
0.000 4.033 0.000
0.000 0.000 11.960
Sc Pa Rh
1 2 9
Cartesian
0.000 0.000 0.000
0.000 0.000 3.923
0.000 0.000 8.036
0.000 2.017 1.936
0.000 2.017 5.980
0.000 2.017 10.024
2.017 0.000 1.936
2.017 0.000 5.980
2.017 0.000 10.024
2.017 2.017 0.000
2.017 2.017 3.955
2.017 2.017 8.005
```

## Properties
- space-group type = No. 123
- M_tot (μB per formula unit) = 0.00
- formation enthalpy at 0 K (eV/f.u.) = -9.53

***

This record from Alexandria via LeMat-Bulk describes a geometry-optimized LaTaAu2 structure. The functional is PBE.

```
LaTaAu2
1.0
3.545 0.000 0.000
0.000 3.545 0.000
0.000 0.000 7.110
La Ta Au
1 1 2
Cartesian
0.000 0.000 0.000
1.772 1.772 2.278
0.000 0.000 3.561
1.772 1.772 5.157
```

## Properties
- space-group type = No. 99
- M_tot (μB per formula unit) = 0.00
- formation enthalpy at 0 K (eV/f.u.) = -0.31

***

> What is the M_tot in the second record?

0.00 μB per formula unit

***

> What is the M_tot in the second record?

0.00 μB per formula unit

***

> Look up the M_tot of the second one.

0.00 μB per formula unit

***

> What is the M_tot in the second record?

0.00 μB per formula unit